No. 1
Compound: Tb3ZrSe6
Source: Alexandria via LeMat-Bulk
Functional: PBE
Structure: optimized geometry

Cell lengths 11.8849, 11.8849, 14.0513 Å; angles 90.00, 90.00, 120.00 degrees
Space group R-3 (No. 148, hexagonal axes)
One atom of each set of equivalent atoms:
Tb 0.0563 0.7822 0.1963 x18
Zr 0.0000 0.0000 0.0000 x3
Zr 0.0000 0.0000 0.5000 x3
Se 0.0193 0.8158 0.3942 x18
Se 0.0341 0.8382 0.8830 x18

Summary:
V (Å³ per atom): 28.6
Uncorrected formation energy (eV per formula unit): -16.57
Total DFT energy (no corrections) (eV/cell): -359.5
Total moment (μB per cell): 6.09


No. 2
Compound: Tb5ErTmTh2
Source: Alexandria via LeMat-Bulk
Functional: PBE
Structure: optimized geometry

Cell lengths 8.677, 8.677, 15.734 Å; angles 90.00, 90.00, 90.00 degrees
Space group I4/mcm (No. 140)
One atom of each set of equivalent atoms:
Tb 0.000 0.000 0.000 x4
Tb 0.212 0.288 0.141 x16
Er 0.000 0.000 0.250 x4
Tm 0.000 0.500 0.250 x4
Th 0.120 0.380 0.500 x8

Summary:
V (Å³ per atom): 32.9
Total DFT energy (no corrections) (eV/cell): -175.6
Total moment (μB per cell): 0.00


No. 3
Compound: La4PrNd15
Source: Alexandria via LeMat-Bulk
Functional: PBE
Structure: optimized geometry

Cell lengths 5.236, 5.236, 26.100 Å; angles 90.00, 90.00, 90.00 degrees
Space group P4/mmm (No. 123)
One atom of each set of equivalent atoms:
La 0.000 0.000 0.100 x2
La 0.000 0.000 0.300 x2
Pr 0.000 0.000 0.500 x1
Nd 0.000 0.500 0.000 x2
Nd 0.000 0.500 0.200 x4
Nd 0.000 0.500 0.400 x4
Nd 0.500 0.500 0.100 x2
Nd 0.500 0.500 0.300 x2
Nd 0.500 0.500 0.500 x1

Summary:
V (Å³ per atom): 35.8
Total DFT energy (no corrections) (eV/cell): -95.7
Total moment (μB per cell): 0.00


No. 4
Compound: Ca2AlSe
Source: Alexandria via LeMat-Bulk
Functional: PBE
Structure: optimized geometry

Cell lengths 3.688, 3.808, 16.569 Å; angles 90.00, 90.00, 90.00 degrees
Space group Imm2 (No. 44)
One atom of each set of equivalent atoms:
Ca 0.000 0.000 0.000 x2
Ca 0.000 0.500 0.218 x2
Al 0.000 0.000 0.383 x2
Se 0.000 0.500 0.640 x2

Summary:
V (Å³ per atom): 29.1
Polymorph energy (0 for the lowest one) (meV per atom): 105.3
Uncorrected formation energy (eV per formula unit): -3.11
Total DFT energy (no corrections) (eV/cell): -28.7
Total moment (μB per cell): 0.70


No. 5
Compound: NbCdO2F
Source: Alexandria via LeMat-Bulk
Functional: PBE
Structure: optimized geometry

Cell lengths 4.029, 4.029, 4.384 Å; angles 90.00, 90.00, 90.00 degrees
Space group P4/mmm (No. 123)
One atom of each set of equivalent atoms:
Nb 0.000 0.000 0.000 x1
Cd 0.500 0.500 0.500 x1
O 0.000 0.500 0.000 x2
F 0.000 0.000 0.500 x1

Summary:
V (Å³ per atom): 14.2
Uncorrected formation energy (eV per formula unit): -8.84
Total DFT energy (no corrections) (eV/cell): -31.6
Total moment (μB per cell): 0.62


No. 6
Compound: Pr7Dy6Tm16
Source: Alexandria via LeMat-Bulk
Functional: PBE
Structure: optimized geometry

Cell lengths 15.821, 15.821, 15.821 Å; angles 90.00, 90.00, 90.00 degrees
Space group Fm-3m (No. 225)
One atom of each set of equivalent atoms:
Pr 0.000 0.000 0.000 x4
Pr 0.000 0.250 0.250 x24
Dy 0.000 0.000 0.254 x24
Tm 0.130 0.130 0.130 x32
Tm 0.149 0.149 0.351 x32

Summary:
V (Å³ per atom): 34.1
Total DFT energy (no corrections) (eV/cell): -500.3
Total moment (μB per cell): 0.00


No. 7
Compound: LaTb2Lu
Source: Alexandria via LeMat-Bulk
Functional: PBE
Structure: optimized geometry

Cell lengths 3.586, 3.586, 10.140 Å; angles 90.00, 90.00, 90.00 degrees
Space group P4/mmm (No. 123)
One atom of each set of equivalent atoms:
La 0.000 0.000 0.000 x1
Tb 0.500 0.500 0.259 x2
Lu 0.000 0.000 0.500 x1

Summary:
V (Å³ per atom): 32.6
Polymorph energy (0 for the lowest one) (meV per atom): 7.0
Total DFT energy (no corrections) (eV/cell): -18.6
Total moment (μB per cell): 0.00


No. 8
Compound: Ba2CuHg4Sb2
Source: Alexandria via LeMat-Bulk
Functional: PBE
Structure: optimized geometry

Cell lengths 7.101, 7.101, 10.501 Å; angles 90.00, 90.00, 90.00 degrees
Space group I4/mmm (No. 139)
One atom of each set of equivalent atoms:
Ba 0.000 0.500 0.250 x4
Cu 0.000 0.000 0.000 x2
Hg 0.228 0.228 0.500 x8
Sb 0.000 0.000 0.260 x4

Summary:
V (Å³ per atom): 29.4
Uncorrected formation energy (eV per formula unit): -3.53
Total DFT energy (no corrections) (eV/cell): -41.8
Total moment (μB per cell): 0.00


No. 9
Compound: BaNb2S4
Source: Alexandria via LeMat-Bulk
Functional: PBE
Structure: optimized geometry

Cell lengths 8.715, 12.454, 11.870 Å; angles 90.00, 90.00, 90.00 degrees
Space group Fdd2 (No. 43)
One atom of each set of equivalent atoms:
Ba 0.000 0.000 0.000 x8
Nb 0.105 0.397 0.896 x16
S 0.078 0.340 0.675 x16
S 0.116 0.172 0.854 x16

Summary:
V (Å³ per atom): 23.0
Polymorph energy (0 for the lowest one) (meV per atom): 154.5
Uncorrected formation energy (eV per formula unit): -7.32
Total DFT energy (no corrections) (eV/cell): -367.1
Total moment (μB per cell): 8.91


No. 10
Compound: ZnHgTe2
Source: Alexandria via LeMat-Bulk
Functional: PBE
Structure: optimized geometry

Cell lengths 7.813, 9.048, 7.440 Å; angles 90.00, 90.00, 90.00 degrees
Space group Pna2_1 (No. 33)
One atom of each set of equivalent atoms:
Zn 0.080 0.126 0.000 x4
Hg 0.088 0.624 0.998 x4
Te 0.070 0.114 0.639 x4
Te 0.094 0.636 0.612 x4

Summary:
V (Å³ per atom): 32.9
Uncorrected formation energy (eV per formula unit): -1.22
Total DFT energy (no corrections) (eV/cell): -36.3
Total moment (μB per cell): 0.00


No. 11
Compound: GaHg2Te2
Source: Alexandria via LeMat-Bulk
Functional: PBE
Structure: optimized geometry

Cell lengths 4.252, 4.252, 16.347 Å; angles 90.00, 90.00, 90.00 degrees
Space group I4/mmm (No. 139)
One atom of each set of equivalent atoms:
Ga 0.000 0.000 0.000 x2
Hg 0.000 0.500 0.250 x4
Te 0.000 0.000 0.412 x4

Summary:
V (Å³ per atom): 29.6
Polymorph energy (0 for the lowest one) (meV per atom): 20.3
Uncorrected formation energy (eV per formula unit): 0.37
Total DFT energy (no corrections) (eV/cell): -19.1
Total moment (μB per cell): 0.00


No. 12
Compound: LiLa2PrAu4
Source: Alexandria via LeMat-Bulk
Functional: PBE
Structure: optimized geometry

Cell lengths 5.2248, 5.2248, 25.6286 Å; angles 90.00, 90.00, 120.00 degrees
Space group R-3m (No. 166, hexagonal axes)
One atom of each set of equivalent atoms:
Li 0.0000 0.0000 0.0000 x3
La 0.0000 0.0000 0.2580 x6
Pr 0.0000 0.0000 0.5000 x3
Au 0.0000 0.0000 0.1298 x6
Au 0.0000 0.0000 0.3790 x6

Summary:
V (Å³ per atom): 25.2
Total DFT energy (no corrections) (eV/cell): -106.2
Total moment (μB per cell): 0.00